An optimized crystal structure of CaMg6VO8, computed with GGA+U.

Properties
crystal system: tetragonal
total DFT energy (no corrections): -0.456 Ry per atom
magnetization: 3.0 μB per cell

Lattice parameters (Å, degrees): 4.3810 4.3810 8.7409 90.00 90.00 90.00
With the nearest neighbours (Å) after each atom.
Element x y z (fractional)
O (0.5000, 0.5000, 0.2515)  6 Mg 2.17-2.20
Ca (0.0000, 0.0000, 0.0000)  6 O 2.19-2.26
O (0.5000, 0.5000, 0.7485)  6 Mg 2.17-2.20
Mg (0.5000, 0.0000, 0.7451)  6 O 2.14-2.23
O (0.0000, 0.0000, 0.7418)  1 V 2.11, 4 Mg 2.19, 1 Ca 2.26
Mg (0.5000, 0.5000, 0.0000)  6 O 2.19-2.20
O (0.5000, 0.0000, 0.5000)  4 Mg 2.14-2.19, 2 V 2.19
Mg (0.0000, 0.5000, 0.2549)  6 O 2.14-2.23
Mg (0.0000, 0.5000, 0.7451)  6 O 2.14-2.23
Mg (0.5000, 0.0000, 0.2549)  6 O 2.14-2.23
V (0.0000, 0.0000, 0.5000)  6 O 2.11-2.19
O (0.0000, 0.5000, 0.0000)  4 Mg 2.19-2.23, 2 Ca 2.19
O (0.5000, 0.0000, 0.0000)  4 Mg 2.19-2.23, 2 Ca 2.19
O (0.0000, 0.0000, 0.2582)  1 V 2.11, 4 Mg 2.19, 1 Ca 2.26
O (0.0000, 0.5000, 0.5000)  4 Mg 2.14-2.19, 2 V 2.19
Mg (0.5000, 0.5000, 0.5000)  6 O 2.17-2.19